1.
A plane-wave DFT calculation with PBE was carried out for crystalline MgBrN2F at its relaxed geometry.

Values from the calculation:
* calculated density: 3.690 g/cm³
* polymorph energy (0 for the lowest one): 434 meV/atom
* E_form (uncorrected): 1.103 eV/atom

Unit cell a=3.840 b=3.840 c=4.614 alpha=90.00 beta=90.00 gamma=90.00
Space group P4/mmm (No. 123)
Symmetry-distinct sites (fractional):
Mg 0.000 0.000 0.000 x1
Br 0.500 0.500 0.500 x1
N 0.000 0.500 0.500 x2
F 0.500 0.500 0.000 x1


2.
A plane-wave DFT calculation with PBE was carried out for crystalline MgBrNF2 at its relaxed geometry.

Values from the calculation:
* calculated density: 3.001 g/cm³
* polymorph energy (0 for the lowest one): 994 meV/atom
* E_form (uncorrected): 0.095 eV/atom

Unit cell a=4.808 b=4.808 c=3.740 alpha=90.00 beta=90.00 gamma=90.00
Space group P4/mmm (No. 123)
Symmetry-distinct sites (fractional):
Mg 0.000 0.000 0.000 x1
Br 0.500 0.500 0.500 x1
N 0.500 0.500 0.000 x1
F 0.000 0.500 0.500 x2


3.
A plane-wave DFT calculation with PBE was carried out for crystalline MgBrN2F at its relaxed geometry.

Values from the calculation:
* calculated density: 2.548 g/cm³
* polymorph energy (0 for the lowest one): 483 meV/atom
* E_form (uncorrected): 1.153 eV/atom

Unit cell a=4.225 b=4.225 c=5.523 alpha=90.00 beta=90.00 gamma=90.00
Space group P4/mmm (No. 123)
Symmetry-distinct sites (fractional):
Mg 0.000 0.000 0.000 x1
Br 0.000 0.000 0.500 x1
N 0.000 0.500 0.000 x2
F 0.500 0.500 0.500 x1


4.
A plane-wave DFT calculation with PBE was carried out for crystalline MgBrNF2 at its relaxed geometry.

Values from the calculation:
* calculated density: 2.964 g/cm³
* polymorph energy (0 for the lowest one): 0 meV/atom
* E_form (uncorrected): -0.900 eV/atom

Unit cell a=3.676 b=3.676 c=6.477 alpha=90.00 beta=90.00 gamma=90.00
Space group P4/mmm (No. 123)
Symmetry-distinct sites (fractional):
Mg 0.000 0.000 0.000 x1
Br 0.500 0.500 0.500 x1
N 0.000 0.000 0.500 x1
F 0.000 0.500 0.000 x2


5.
A plane-wave DFT calculation with PBE was carried out for crystalline MgBrN2F at its relaxed geometry.

Values from the calculation:
* calculated density: 3.445 g/cm³
* polymorph energy (0 for the lowest one): 0 meV/atom
* E_form (uncorrected): 0.670 eV/atom

Unit cell a=4.410 b=4.410 c=3.749 alpha=90.00 beta=90.00 gamma=90.00
Space group P4/mmm (No. 123)
Symmetry-distinct sites (fractional):
Mg 0.000 0.000 0.000 x1
Br 0.500 0.500 0.500 x1
N 0.000 0.500 0.000 x2
F 0.000 0.000 0.500 x1


6.
A plane-wave DFT calculation with PBE was carried out for crystalline NaMgBrF2 at its relaxed geometry.

Values from the calculation:
* calculated density: 3.080 g/cm³
* E_form (uncorrected): -2.569 eV/atom

Unit cell a=3.982 b=3.982 c=5.617 alpha=90.00 beta=90.00 gamma=90.00
Space group P4/mmm (No. 123)
Symmetry-distinct sites (fractional):
Na 0.000 0.000 0.000 x1
Mg 0.500 0.500 0.500 x1
Br 0.500 0.500 0.000 x1
F 0.000 0.500 0.500 x2